Material: Hf4Se2Cl
Method: DFT, PBE
State: optimized geometry

The structure belongs to space group I4/mmm (No. 139); the cell edges are 4.7357, 4.7357 and 13.3620 Å and the angles 90.00°, 90.00° and 90.00°. The asymmetric unit holds Hf at (0.0000, 0.0000, 0.1876), Hf at (0.0000, 0.5000, 0.0000), Se at (0.0000, 0.0000, 0.3794) and Cl at (0.0000, 0.0000, 0.0000).

The total energy is -97.494 eV for the cell shown. As for the calculated volume: 149.8 Å³/f.u. The value obtained for the density is 10.06 g cm⁻³.